# 1
VASP calculation (PBE) on a relaxed NaTb3F crystal. Values from VASP.

Symmetry: Pm-3m

The structure in Quantum ESPRESSO input format:
```
&SYSTEM
  ibrav = 0, nat = 5, ntyp = 3
/
ATOMIC_SPECIES
Na 22.99 Na.upf
Tb 158.93 Tb.upf
F 19.00 F.upf
CELL_PARAMETERS angstrom
4.971 0.000 0.000
0.000 4.971 0.000
0.000 0.000 4.971
ATOMIC_POSITIONS angstrom
Na 0.000 0.000 0.000
Tb 0.000 2.486 2.486
Tb 2.486 0.000 2.486
Tb 2.486 2.486 0.000
F 2.486 2.486 2.486
```

***

# 2
VASP calculation (PBE) on a relaxed Er3Mg3HgIr2 crystal. Values from VASP.

Symmetry: P-62m

The structure in Quantum ESPRESSO input format:
```
&SYSTEM
  ibrav = 0, nat = 9, ntyp = 4
/
ATOMIC_SPECIES
Er 167.26 Er.upf
Mg 24.30 Mg.upf
Hg 200.59 Hg.upf
Ir 192.22 Ir.upf
CELL_PARAMETERS angstrom
7.370 0.000 0.000
-3.685 6.382 0.000
0.000 0.000 4.088
ATOMIC_POSITIONS angstrom
Er -2.131 3.691 0.000
Er 1.554 2.691 0.000
Er 4.262 0.000 0.000
Mg -0.953 1.650 2.044
Mg 1.906 0.000 2.044
Mg 2.732 4.732 2.044
Hg 0.000 0.000 0.000
Ir 0.000 4.255 2.044
Ir 3.685 2.127 2.044
```

***

# 3
VASP calculation (PBE) on a relaxed ZrScPI2 crystal. Values from VASP.

Symmetry: P3m1

The structure in Quantum ESPRESSO input format:
```
&SYSTEM
  ibrav = 0, nat = 5, ntyp = 4
/
ATOMIC_SPECIES
Zr 91.22 Zr.upf
Sc 44.96 Sc.upf
P 30.97 P.upf
I 126.90 I.upf
CELL_PARAMETERS angstrom
3.906 0.000 0.000
-1.953 3.383 0.000
0.000 0.000 10.702
ATOMIC_POSITIONS angstrom
Zr 0.000 0.000 0.000
Sc 0.000 2.255 2.634
P 1.953 1.128 1.324
I 0.000 0.000 4.613
I 0.000 2.255 8.677
```

***

# 4
VASP calculation (PBE) on a relaxed HoTmC2 crystal. Values from VASP.

Symmetry: Amm2

The structure in Quantum ESPRESSO input format:
```
&SYSTEM
  ibrav = 0, nat = 8, ntyp = 3
/
ATOMIC_SPECIES
Ho 164.93 Ho.upf
Tm 168.93 Tm.upf
C 12.01 C.upf
CELL_PARAMETERS angstrom
3.805 0.000 0.000
0.000 5.542 0.000
0.000 0.000 6.649
ATOMIC_POSITIONS angstrom
Ho 0.000 0.000 0.000
Ho 0.000 2.771 3.324
Tm 1.902 0.000 2.878
Tm 1.902 2.771 6.202
C 1.902 0.699 5.181
C 1.902 2.072 1.857
C 1.902 3.470 1.857
C 1.902 4.843 5.181
```

***

# 5
VASP calculation (PBE) on a relaxed DyCdTc crystal. Values from VASP.

Symmetry: F-43m
ΔH_f (0 K), eV/atom: 0.687

The structure in Quantum ESPRESSO input format:
```
&SYSTEM
  ibrav = 0, nat = 12, ntyp = 3
/
ATOMIC_SPECIES
Dy 162.50 Dy.upf
Cd 112.41 Cd.upf
Tc 98.00 Tc.upf
CELL_PARAMETERS angstrom
6.566 0.000 0.000
0.000 6.566 0.000
0.000 0.000 6.566
ATOMIC_POSITIONS angstrom
Dy 0.000 0.000 0.000
Dy 0.000 3.283 3.283
Dy 3.283 0.000 3.283
Dy 3.283 3.283 0.000
Cd 1.641 1.641 1.641
Cd 1.641 4.924 4.924
Cd 4.924 1.641 4.924
Cd 4.924 4.924 1.641
Tc 0.000 0.000 3.283
Tc 0.000 3.283 0.000
Tc 3.283 0.000 0.000
Tc 3.283 3.283 3.283
```

***

# 6
VASP calculation (PBE) on a relaxed Pr2NdIn3AgIr2 crystal. Values from VASP.

Symmetry: Amm2

The structure in Quantum ESPRESSO input format:
```
&SYSTEM
  ibrav = 0, nat = 9, ntyp = 5
/
ATOMIC_SPECIES
Pr 140.91 Pr.upf
Nd 144.24 Nd.upf
In 114.82 In.upf
Ag 107.87 Ag.upf
Ir 192.22 Ir.upf
CELL_PARAMETERS angstrom
4.128 0.000 0.000
0.000 6.680 3.858
0.000 -6.680 3.858
ATOMIC_POSITIONS angstrom
Pr 0.000 -3.900 3.858
Pr 0.000 3.900 3.858
Nd 0.000 0.000 2.899
In 2.064 0.000 0.408
In 2.064 -1.736 5.103
In 2.064 1.736 5.103
Ag 0.000 0.000 6.107
Ir 2.064 -2.222 2.254
Ir 2.064 2.222 2.254
```

***

# 7
VASP calculation (PBE) on a relaxed HfZrAl2Cu2Pd2 crystal. Values from VASP.

Symmetry: P-4m2

The structure in Quantum ESPRESSO input format:
```
&SYSTEM
  ibrav = 0, nat = 8, ntyp = 5
/
ATOMIC_SPECIES
Hf 178.49 Hf.upf
Zr 91.22 Zr.upf
Al 26.98 Al.upf
Cu 63.55 Cu.upf
Pd 106.42 Pd.upf
CELL_PARAMETERS angstrom
4.479 0.000 0.000
0.000 4.479 0.000
0.000 0.000 6.348
ATOMIC_POSITIONS angstrom
Hf 0.000 0.000 0.000
Zr 2.240 2.240 3.174
Al 0.000 0.000 3.174
Al 2.240 2.240 0.000
Cu 0.000 2.240 4.784
Cu 2.240 0.000 1.564
Pd 0.000 2.240 1.550
Pd 2.240 0.000 4.797
```

***

# 8
VASP calculation (PBE) on a relaxed HoLuNO crystal. Values from VASP.

Energy relative to the lowest polymorph listed for this composition, eV per formula unit: 0.46
Symmetry: Pca2_1

The structure in Quantum ESPRESSO input format:
```
&SYSTEM
  ibrav = 0, nat = 16, ntyp = 4
/
ATOMIC_SPECIES
Ho 164.93 Ho.upf
Lu 174.97 Lu.upf
N 14.01 N.upf
O 16.00 O.upf
CELL_PARAMETERS angstrom
6.530 0.000 0.000
0.000 8.017 0.000
0.000 0.000 4.805
ATOMIC_POSITIONS angstrom
Ho 0.535 1.031 0.000
Ho 2.731 1.031 2.403
Ho 3.800 6.986 0.000
Ho 5.996 6.986 2.403
Lu 0.452 4.980 0.003
Lu 2.813 4.980 2.405
Lu 3.718 3.038 0.003
Lu 6.078 3.038 2.405
N 0.419 1.037 2.401
N 2.846 1.037 4.804
N 3.684 6.981 2.401
N 6.111 6.981 4.804
O 0.636 5.022 2.409
O 2.630 5.022 0.006
O 3.901 2.995 2.409
O 5.895 2.995 0.006
```

***

# 9
VASP calculation (PBE) on a relaxed BaNd2In2S7 crystal. Values from VASP.

Symmetry: Pbam

The structure in Quantum ESPRESSO input format:
```
&SYSTEM
  ibrav = 0, nat = 24, ntyp = 4
/
ATOMIC_SPECIES
Ba 137.33 Ba.upf
Nd 144.24 Nd.upf
In 114.82 In.upf
S 32.06 S.upf
CELL_PARAMETERS angstrom
11.683 0.000 0.000
0.000 12.456 0.000
0.000 0.000 4.030
ATOMIC_POSITIONS angstrom
Ba 0.000 0.000 0.000
Ba 5.841 6.228 0.000
Nd 1.371 4.451 0.000
Nd 4.470 10.679 0.000
Nd 7.213 1.777 0.000
Nd 10.312 8.005 0.000
In 2.428 7.766 2.015
In 3.413 1.538 2.015
In 8.270 10.918 2.015
In 9.254 4.690 2.015
S 0.000 6.228 2.015
S 1.011 2.461 2.015
S 1.584 8.957 0.000
S 2.528 11.671 2.015
S 3.313 5.443 2.015
S 4.257 2.729 0.000
S 4.831 8.689 2.015
S 5.841 0.000 2.015
S 6.852 3.767 2.015
S 7.425 9.727 0.000
S 8.370 7.013 2.015
S 9.154 0.785 2.015
S 10.099 3.499 0.000
S 10.672 9.995 2.015
```

***

# 10
VASP calculation (PBE) on a relaxed KNa3Hf2Te6 crystal. Values from VASP.

Energy relative to the lowest polymorph listed for this composition, eV per formula unit: 0.14
Symmetry: C2/m

The structure in Quantum ESPRESSO input format:
```
&SYSTEM
  ibrav = 0, nat = 12, ntyp = 4
/
ATOMIC_SPECIES
K 39.10 K.upf
Na 22.99 Na.upf
Hf 178.49 Hf.upf
Te 127.60 Te.upf
CELL_PARAMETERS angstrom
3.810 -6.643 0.000
3.810 6.643 0.000
-2.666 0.000 7.463
ATOMIC_POSITIONS angstrom
K 0.000 0.000 0.000
Na 2.477 4.673 3.732
Na 2.477 0.000 3.732
Na 2.477 -4.673 3.732
Hf 3.810 2.273 0.000
Hf 3.810 -2.273 0.000
Te 1.444 2.532 1.702
Te 0.244 0.000 5.804
Te 1.444 -2.532 1.702
Te 3.510 2.532 5.761
Te 4.710 0.000 1.660
Te 3.510 -2.532 5.761
```

***

# 11
VASP calculation (PBE) on a relaxed NdZnInSe3 crystal. Values from VASP.

Energy relative to the lowest polymorph listed for this composition, eV per formula unit: 0.12
Symmetry: P2_1/m

The structure in Quantum ESPRESSO input format:
```
&SYSTEM
  ibrav = 0, nat = 12, ntyp = 4
/
ATOMIC_SPECIES
Nd 144.24 Nd.upf
Zn 65.41 Zn.upf
In 114.82 In.upf
Se 78.96 Se.upf
CELL_PARAMETERS angstrom
8.303 0.000 0.000
0.000 4.191 0.000
-3.152 0.000 10.223
ATOMIC_POSITIONS angstrom
Nd 1.223 1.048 1.409
Nd 3.928 3.143 8.813
Zn 2.318 3.143 4.010
Zn 2.834 1.048 6.213
In -0.357 3.143 7.244
In 5.509 1.048 2.979
Se -2.270 1.048 8.725
Se 0.940 1.048 4.496
Se 3.281 3.143 1.734
Se 1.870 1.048 8.489
Se 4.212 3.143 5.727
Se 7.422 3.143 1.498
```

***

# 12
VASP calculation (PBE) on a relaxed Re3Pb5Au crystal. Values from VASP.

Symmetry: P6/mmm

The structure in Quantum ESPRESSO input format:
```
&SYSTEM
  ibrav = 0, nat = 9, ntyp = 3
/
ATOMIC_SPECIES
Re 186.21 Re.upf
Pb 207.20 Pb.upf
Au 196.97 Au.upf
CELL_PARAMETERS angstrom
5.471 0.000 0.000
-2.735 4.738 0.000
0.000 0.000 8.575
ATOMIC_POSITIONS angstrom
Re -1.368 2.369 0.000
Re 2.735 0.000 0.000
Re 1.368 2.369 0.000
Pb 0.000 0.000 0.000
Pb 0.000 3.159 2.598
Pb 0.000 3.159 5.977
Pb 2.735 1.579 2.598
Pb 2.735 1.579 5.977
Au 0.000 0.000 4.287
```

***

Here are the calculated raw total energy numbers, same order: -20.32 -41.45 -29.68 -55.16 -55.19 -48.13 -48.51 -125.39 -126.94 -54.71 -50.95 -53.95 (eV for the cell shown).